A relaxed La2AuO4 crystal. Source: the Open Quantum Materials Database, functional PBE.

Cell lengths 7.1179, 7.1179, 7.1179 Å; angles 119.99, 90.01, 119.99 degrees
Closest atoms and distances in Å follow each position.
Atoms (fractional coordinates):
O  0.1364  0.7272  0.8635  1 Au 2.38, 3 La 2.41
O  0.1364  0.2728  0.4092  1 Au 2.38, 3 La 2.41
O  0.6136  0.7728  0.3865  1 Au 2.38, 3 La 2.41
O  0.1365  0.2728  0.8636  1 Au 2.38, 3 La 2.41
O  0.6135  0.2272  0.3864  1 Au 2.38, 3 La 2.41
O  0.6136  0.2272  0.8408  1 Au 2.38, 3 La 2.41
O  0.1592  0.7728  0.3864  1 Au 2.38, 3 La 2.41
O  0.5908  0.7272  0.8636  1 Au 2.38, 3 La 2.41
Au  0.0000  0.0000  0.0000  4 O 2.38
Au  0.7500  0.5000  0.2500  4 O 2.38
La  0.3750  0.7500  0.1250  6 O 2.41
La  0.3750  0.2500  0.6250  6 O 2.41
La  0.3750  0.7500  0.6250  6 O 2.41
La  0.8750  0.2500  0.6250  6 O 2.41

Output
E in eV/f.u.: -47.46
Symmetry: Fd-3m (227)